{
  "formula": "CsNiBr",
  "functional": "PBE",
  "state": "optimized geometry",
  "lattice_angstrom": [[-4.673, 8.228, 5.863], [3.643, -3.257, 7.475], [4.262, 2.977, -0.780]],
  "species": ["Cs", "Cs", "Cs", "Cs", "Ni", "Ni", "Ni", "Ni", "Br", "Br", "Br", "Br"],
  "fractional_positions": [[0.750, 0.250, 0.750], [0.750, 0.750, 0.250], [0.250, 0.750, 0.250], [0.250, 0.250, 0.750], [0.500, 0.250, 0.447], [0.000, 0.750, 0.947], [0.500, 0.750, 0.553], [0.000, 0.250, 0.053], [0.000, 0.000, 0.000], [0.500, 0.500, 0.500], [0.500, 0.000, 0.500], [0.000, 0.500, 0.000]],
  "raw_formation_energy_ev_per_atom": -0.18,
  "e_tot_ev_per_atom": -2.953,
  "m_tot_mub_per_atom": 0.0000,
  "polymorph_energy_mev_per_atom": 146,
  "spacegroup": "Pnma, No. 62"
}

{
  "formula": "CsNiBr2",
  "functional": "PBE",
  "state": "optimized geometry",
  "lattice_angstrom": [[-2.095, 0.745, 5.137], [-1.793, 5.060, 1.585], [-5.476, 0.943, 0.680]],
  "species": ["Cs", "Ni", "Br", "Br"],
  "fractional_positions": [[0.500, 0.500, 0.500], [0.000, 0.000, 0.000], [0.250, 0.250, 0.250], [0.750, 0.750, 0.750]],
  "raw_formation_energy_ev_per_atom": -0.18,
  "e_tot_ev_per_atom": -2.670,
  "m_tot_mub_per_atom": 0.2514,
  "polymorph_energy_mev_per_atom": 632,
  "spacegroup": "Fm-3m, No. 225"
}

{
  "formula": "CsNiBr",
  "functional": "PBE",
  "state": "optimized geometry",
  "lattice_angstrom": [[11.007, 0.000, 0.000], [0.000, 4.205, 0.000], [0.000, 0.000, 7.356]],
  "species": ["Cs", "Cs", "Cs", "Cs", "Ni", "Ni", "Ni", "Ni", "Br", "Br", "Br", "Br"],
  "fractional_positions": [[0.000, 0.250, 0.750], [0.500, 0.750, 0.250], [0.000, 0.750, 0.250], [0.500, 0.250, 0.750], [0.250, 0.250, 0.412], [0.250, 0.750, 0.912], [0.750, 0.750, 0.588], [0.750, 0.250, 0.088], [0.750, 0.250, 0.416], [0.750, 0.750, 0.916], [0.250, 0.750, 0.584], [0.250, 0.250, 0.084]],
  "raw_formation_energy_ev_per_atom": -0.23,
  "e_tot_ev_per_atom": -3.002,
  "m_tot_mub_per_atom": 0.0000,
  "polymorph_energy_mev_per_atom": 97,
  "spacegroup": "Cmcm, No. 63"
}